Compound: BeTl2Si
Source: the Alexandria database
Functional: GGA-PBE
Structure: relaxed

Lattice parameters (Å, degrees): 4.9836 4.9836 4.9836 60.00 60.00 60.00
Closest atoms and distances in Å follow each position.
Fractional positions:
Tl: 0.2500 0.2500 0.2500  4 Be 3.05, 4 Si 3.05
Tl: 0.7500 0.7500 0.7500  4 Be 3.05, 4 Si 3.05
Be: 0.0000 0.0000 0.0000  8 Tl 3.05
Si: 0.5000 0.5000 0.5000  8 Tl 3.05

## Properties
The value obtained for the density of states at the Fermi level is 0.356 states/eV per atom. Its energy above the lowest structure with this stoichiometry is 2.283 eV/f.u. As for the space group: Fm-3m (225).

=====

Compound: SrBe3W
Source: the Alexandria database
Functional: GGA-PBE
Structure: relaxed

Lattice parameters (Å, degrees): 4.3854 4.3854 4.3854 90.00 90.00 90.00
Closest atoms and distances in Å follow each position.
Fractional positions:
Be: 0.0000 0.5000 0.0000  2 Sr 2.19
Be: 0.0000 0.0000 0.5000  2 Sr 2.19
Be: 0.5000 0.0000 0.0000  2 Sr 2.19
W: 0.5000 0.5000 0.5000  12 Be 3.10
Sr: 0.0000 0.0000 0.0000  6 Be 2.19

## Properties
The value obtained for the density of states at the Fermi level is 0.894 states/eV per atom. Its formation energy from the elements is 2.8116 eV per atom. Its energy above the lowest structure with this stoichiometry is 10.046 eV/f.u. As for the space group: Pm-3m (221).

=====

Compound: Y4Pb2SeS
Source: the Alexandria database
Functional: GGA-PBE
Structure: relaxed

Lattice parameters (Å, degrees): 3.9500 8.1762 6.8125 73.94 90.00 90.00
Closest atoms and distances in Å follow each position.
Fractional positions:
S: 0.5000 0.5000 0.0000  6 Y 2.76
Y: 0.5000 0.2913 0.7438  1 S 2.76, 2 Se 2.83
Y: 0.5000 0.7087 0.2562  1 S 2.76, 2 Se 2.83
Y: 0.0000 0.7030 0.7751  2 S 2.76, 1 Se 2.83
Y: 0.0000 0.2970 0.2249  2 S 2.76, 1 Se 2.83
Se: 0.0000 0.5000 0.5000  6 Y 2.83
Pb: 0.0000 0.0000 0.0000  6 Y 3.21
Pb: 0.5000 0.0000 0.5000  6 Y 3.26-3.28

## Properties
The value obtained for the density of states at the Fermi level is 0.488 states/eV per atom. The calculation puts the final energy at -6.279 eV/atom. As for the space group: P2/m (10).

=====

Compound: Co2CuTc
Source: the Alexandria database
Functional: GGA-PBE
Structure: relaxed

Lattice parameters (Å, degrees): 4.4608 4.4608 2.5675 90.00 90.00 108.72
Closest atoms and distances in Å follow each position.
Fractional positions:
Cu: 0.5000 0.0000 0.5000  2 Cu 2.57, 8 Co 2.57, 2 Tc 2.60
Tc: 0.0000 0.5000 0.5000  2 Tc 2.57, 8 Co 2.57, 2 Cu 2.60
Co: 0.5000 0.5000 0.0000  4 Co 2.57-2.60, 4 Tc 2.57, 4 Cu 2.57
Co: 0.0000 0.0000 0.0000  4 Co 2.57-2.60, 4 Cu 2.57, 4 Tc 2.57

## Properties
The value obtained for the density of states at the Fermi level is 1.500 states/eV per atom. Its formation energy from the elements is 0.2238 eV per atom. Its energy above the lowest structure with this stoichiometry is 0.393 eV/f.u. As for the space group: Cmmm (65).

=====

Compound: La2Dy6Ho3Mg
Source: the Alexandria database
Functional: GGA-PBE
Structure: relaxed

Lattice parameters (Å, degrees): 6.1409 6.1409 11.7825 95.02 95.02 120.04
Closest atoms and distances in Å follow each position.
Fractional positions:
Ho: 0.8343 0.1657 0.5000  6 Dy 3.50-3.53, 6 Ho 3.53-3.56
Ho: 0.1657 0.8343 0.5000  6 Dy 3.50-3.53, 6 Ho 3.53-3.56
Ho: 0.5000 0.5000 0.5000  6 Dy 3.51-3.52, 6 Ho 3.54-3.56
Dy: 0.4144 0.0840 0.2536  3 Ho 3.51-3.53, 6 Dy 3.51-3.56, 1 Mg 3.57, 2 La 3.59
Dy: 0.9160 0.5856 0.7464  3 Ho 3.51-3.53, 6 Dy 3.51-3.56, 1 Mg 3.57, 2 La 3.59
Dy: 0.0840 0.4144 0.2536  3 Ho 3.51-3.53, 6 Dy 3.51-3.56, 1 Mg 3.57, 2 La 3.59
Dy: 0.5856 0.9160 0.7464  3 Ho 3.51-3.53, 6 Dy 3.51-3.56, 1 Mg 3.57, 2 La 3.59
Dy: 0.7533 0.7533 0.2545  3 Ho 3.50-3.52, 6 Dy 3.52-3.56, 1 Mg 3.59, 2 La 3.60
Dy: 0.2467 0.2467 0.7455  3 Ho 3.50-3.52, 6 Dy 3.52-3.56, 1 Mg 3.59, 2 La 3.60
La: 0.3331 0.6669 0.0000  3 La 3.54-3.55, 3 Mg 3.54-3.55, 6 Dy 3.59-3.60
La: 0.6669 0.3331 0.0000  3 La 3.54-3.55, 3 Mg 3.54-3.55, 6 Dy 3.59-3.60
Mg: 0.0000 0.0000 0.0000  6 La 3.54-3.55, 6 Dy 3.57-3.59

## Properties
The value obtained for the density of states at the Fermi level is 1.513 states/eV per atom. Its formation energy from the elements is 0.0196 eV per atom. As for the space group: C2/m (12).

=====

Compound: CaP2SF
Source: the Alexandria database
Functional: GGA-PBE
Structure: relaxed

Lattice parameters (Å, degrees): 5.3752 5.3752 5.0942 90.00 90.00 90.00
Closest atoms and distances in Å follow each position.
Fractional positions:
P: 0.5000 0.0000 0.0000  2 Ca 2.69
P: 0.0000 0.5000 0.0000  2 Ca 2.69
S: 0.0000 0.0000 0.5000  2 Ca 2.55
Ca: 0.0000 0.0000 0.0000  2 S 2.55, 4 P 2.69
F: 0.5000 0.5000 0.5000  8 P 3.70, 4 S 3.80

## Properties
The value obtained for the density of states at the Fermi level is 1.435 states/eV per atom. Its energy above the lowest structure with this stoichiometry is 5.114 eV/f.u. As for the space group: P4/mmm (123).

=====

Compound: PrZnPd
Source: the Alexandria database
Functional: GGA-PBE
Structure: relaxed

Lattice parameters (Å, degrees): 3.8670 4.4673 4.4673 120.00 90.00 90.00
Closest atoms and distances in Å follow each position.
Fractional positions:
Pd: 0.1662 0.0000 0.0000  3 Zn 2.58
Zn: 0.1670 0.6667 0.3333  3 Pd 2.58
Pr: 0.6669 0.3333 0.6667  6 Pd 3.22-3.23, 6 Zn 3.22

## Properties
The value obtained for the density of states at the Fermi level is 1.025 states/eV per atom. Its formation energy from the elements is -0.6347 eV per atom. As for the space group: P-6m2 (187).

=====

Compound: Zr6HgAu
Source: the Alexandria database
Functional: GGA-PBE
Structure: relaxed

Lattice parameters (Å, degrees): 7.8714 7.8704 5.5682 44.97 44.99 59.97
Closest atoms and distances in Å follow each position.
Fractional positions:
Hg: 0.5000 0.5000 0.5000  12 Zr 3.11-3.12
Au: 0.0000 0.0000 0.0000  12 Zr 3.10-3.11
Zr: 0.5000 0.2475 0.2514  2 Zr 2.75-2.81
Zr: 0.9990 0.5007 0.7479  2 Zr 2.76-2.81
Zr: 0.2476 0.0005 0.2526  2 Zr 2.76-2.81
Zr: 0.5000 0.7525 0.7486  2 Zr 2.75-2.81
Zr: 0.0010 0.4993 0.2521  2 Zr 2.76-2.81
Zr: 0.7524 0.9995 0.7474  2 Zr 2.76-2.81

## Properties
The value obtained for the density of states at the Fermi level is 1.220 states/eV per atom. Its formation energy from the elements is -0.2540 eV per atom. As for the space group: R-3 (148).

=====

Compound: Ce6Hg2Bi
Source: the Alexandria database
Functional: GGA-PBE
Structure: relaxed

Lattice parameters (Å, degrees): 3.1785 9.1272 9.1272 120.00 90.00 90.00
Closest atoms and distances in Å follow each position.
Fractional positions:
Ce: 0.5000 0.0000 0.6571  5 Ce 2.87-3.18
Ce: 0.5000 0.6571 0.0000  5 Ce 2.87-3.18
Ce: 0.5000 0.6571 0.6571  5 Ce 2.87-3.18
Ce: 0.5000 0.3429 0.0000  5 Ce 2.87-3.18
Ce: 0.5000 0.3429 0.3429  5 Ce 2.87-3.18
Ce: 0.5000 0.0000 0.3429  5 Ce 2.87-3.18
Hg: 0.0000 0.3333 0.6667  2 Hg 3.18, 12 Ce 3.39
Hg: 0.0000 0.6667 0.3333  2 Hg 3.18, 12 Ce 3.39
Bi: 0.0000 0.0000 0.0000  2 Bi 3.18, 12 Ce 3.51

## Properties
The value obtained for the density of states at the Fermi level is 2.858 states/eV per atom. Its formation energy from the elements is -0.1564 eV per atom. As for the space group: P6/mmm (191).

=====

Compound: Nb5GeC
Source: the Alexandria database
Functional: GGA-PBE
Structure: relaxed

Lattice parameters (Å, degrees): 5.6556 5.6556 9.1021 68.73 68.73 60.91
Closest atoms and distances in Å follow each position.
Fractional positions:
Nb: 0.8210 0.4524 0.4483  1 C 2.18
Nb: 0.0161 0.3941 0.8879  1 C 2.12
Nb: 0.3941 0.0161 0.3879  1 C 2.12
Nb: 0.9834 0.0166 0.2500  2 C 2.28
Nb: 0.5476 0.1790 0.0517  1 C 2.18
Nb: 0.6059 0.9839 0.6121  1 C 2.12
Nb: 0.4524 0.8210 0.9483  1 C 2.18
Nb: 0.0166 0.9834 0.7500  2 C 2.28
Nb: 0.1790 0.5476 0.5517  1 C 2.18
Nb: 0.9839 0.6059 0.1121  1 C 2.12
C: 0.0000 0.0000 0.5000  6 Nb 2.12-2.28
C: 0.0000 0.0000 0.0000  6 Nb 2.12-2.28
Ge: 0.5092 0.4908 0.7500  8 Nb 2.69-2.91
Ge: 0.4908 0.5092 0.2500  8 Nb 2.69-2.91

## Properties
The value obtained for the density of states at the Fermi level is 0.880 states/eV per atom. Its formation energy from the elements is -0.1519 eV per atom. As for the space group: C2/c (15).

=====

Compound: Cs2Cd7
Source: the Alexandria database
Functional: GGA-PBE
Structure: relaxed

Lattice parameters (Å, degrees): 6.8871 6.8871 14.9792 76.71 76.71 60.00
Closest atoms and distances in Å follow each position.
Fractional positions:
Cd: 0.4002 0.4002 0.3207  5 Cd 3.06-3.30
Cd: 0.3848 0.3848 0.8455  6 Cd 2.99-3.06
Cd: 0.5000 0.0000 0.0000  4 Cd 2.99-3.08
Cd: 0.5998 0.1212 0.6793  5 Cd 3.06-3.30
Cd: 0.5998 0.5998 0.6793  5 Cd 3.06-3.30
Cd: 0.5000 0.5000 0.5000  6 Cd 3.21
Cd: 0.0000 0.5000 0.0000  4 Cd 2.99-3.08
Cd: 0.2790 0.2790 0.1631  6 Cd 3.08
Cd: 0.5000 0.5000 0.0000  4 Cd 2.99-3.08
Cd: 0.4002 0.8788 0.3207  5 Cd 3.06-3.30
Cd: 0.6152 0.6152 0.1545  6 Cd 2.99-3.06
Cd: 0.1212 0.5998 0.6793  5 Cd 3.06-3.30
Cd: 0.8788 0.4002 0.3207  5 Cd 3.06-3.30
Cd: 0.7210 0.7210 0.8369  6 Cd 3.08
Cs: 0.0530 0.0530 0.8411  18 Cd 3.98-4.16, 1 Cs 4.28
Cs: 0.9470 0.9470 0.1589  18 Cd 3.98-4.16, 1 Cs 4.28
Cs: 0.8483 0.8483 0.4552  12 Cd 3.84-4.03, 4 Cs 4.18-4.28
Cs: 0.1517 0.1517 0.5448  12 Cd 3.84-4.03, 4 Cs 4.18-4.28

## Properties
The value obtained for the density of states at the Fermi level is 0.734 states/eV per atom. Its formation energy from the elements is -0.0303 eV per atom. As for the space group: R-3m (166).